Here is a relaxed structure of LiTi3Be from the Alexandria database. Energies are from GGA-PBEsol.

abc: 4.2475 4.2475 4.2475
angles: 90.00 90.00 90.00
Space group Pm-3m (No. 221)
Unique sites:
Li: 0.0000 0.0000 0.0000 [1 per cell]
Ti: 0.0000 0.0000 0.5000 [3 per cell]
Be: 0.5000 0.5000 0.5000 [1 per cell]

Total magnetization: 0.000 μB/f.u.
Total DFT energy (no corrections): -5.129 eV/atom